[1]
A plane-wave DFT calculation with PBE was carried out for a relaxed Ca2CrNi crystal.

a = 4.0918 Å, b = 5.9331 Å, c = 5.9331 Å
α = 44.08°, β = 90.00°, γ = 90.00°
Last column: nearest neighbours and their distance in Å.
Positions (direct):
Ca1 0.0000 0.0000 0.0000  3 Cr 3.10-3.34, 4 Ni 3.17
Ca2 0.5000 0.2875 0.2875  3 Ni 3.13-3.30, 4 Cr 3.18
Cr1 0.0000 0.6968 0.6968  2 Ni 2.37
Ni1 0.5000 0.5875 0.5875  2 Cr 2.37

## Properties
Formation energy: 0.25 eV/atom
Electronic total energy: -4.607 eV per atom
SG: Amm2, No. 38
Size of the total moment: 4.25 Bohr magnetons per cell
Energy above the most stable polymorph in this dataset: 0 meV per atom
D(E_F): 2.95 states/eV/f.u.

[2]
A plane-wave DFT calculation with PBE was carried out for a relaxed CaCr2Ni crystal.

a = 5.3300 Å, b = 5.3300 Å, c = 5.3300 Å
α = 140.85°, β = 140.85°, γ = 56.57°
Last column: nearest neighbours and their distance in Å.
Positions (direct):
Ca1 0.0000 0.0000 0.0000  4 Ni 2.53
Cr1 0.2500 0.7500 0.5000  4 Cr 2.53
Cr2 0.7500 0.2500 0.5000  4 Cr 2.53
Ni1 0.5000 0.5000 0.0000  4 Ca 2.53

## Properties
Formation energy: 0.81 eV/atom
Electronic total energy: -5.947 eV per atom
SG: I4/mmm, No. 139
Size of the total moment: 0.00 Bohr magnetons per cell
Energy above the most stable polymorph in this dataset: 450 meV per atom
D(E_F): 5.35 states/eV/f.u.

- The lowest size of the total moment belongs to which entry?
  CaCr2Ni

- D(E_F) of number 2 (CaCr2Ni)?
  5.35 states/eV/f.u.

- Among the records above, which one has the highest formation energy?
  CaCr2Ni